1.
A relaxed structure of TaBe2Cd, computed with PBE-GGA. Values from VASP.

```
&SYSTEM
  ibrav = 0, nat = 4, ntyp = 3
/
ATOMIC_SPECIES
Be 9.01 Be.upf
Cd 112.41 Cd.upf
Ta 180.95 Ta.upf
CELL_PARAMETERS angstrom
2.837 0.000 0.000
0.000 2.837 0.000
0.000 0.000 6.828
ATOMIC_POSITIONS crystal
Be 0.000 0.000 0.049
Be 0.500 0.500 0.194
Cd 0.000 0.000 0.457
Ta 0.500 0.500 0.800
```

Properties
- Calculated volume: 13.74 A^3/atom
- DOS(E_F): 0.9 states/eV/cell
- Formation energy from the elements: 173 meV/atom
- Space group: P4mm, No. 99

2.
A relaxed structure of NaLaAs2O8, computed with PBE-GGA. Values from VASP.

```
&SYSTEM
  ibrav = 0, nat = 12, ntyp = 4
/
ATOMIC_SPECIES
Na 22.99 Na.upf
La 138.91 La.upf
As 74.92 As.upf
O 16.00 O.upf
CELL_PARAMETERS angstrom
-1.873 -0.333 -4.902
-3.687 -3.373 1.637
-0.883 6.386 2.724
ATOMIC_POSITIONS crystal
Na 0.000 0.000 0.000
La 0.750 0.250 0.500
As 0.500 0.500 0.000
As 0.250 0.750 0.500
O 0.707 0.823 0.160
O 0.453 0.337 0.160
O 0.572 0.694 0.653
O 0.081 0.959 0.653
O 0.041 0.428 0.347
O 0.306 0.919 0.347
O 0.177 0.547 0.840
O 0.663 0.293 0.840
```

Properties
- Calculated volume: 13.66 A^3/atom
- ΔE_f (raw): -1604 meV per atom
- DOS(E_F): 7.3 states/eV/cell
- Space group: I-4, No. 82

3.
A relaxed structure of La2InAgO5, computed with PBE-GGA. Values from VASP.

```
&SYSTEM
  ibrav = 0, nat = 18, ntyp = 4
/
ATOMIC_SPECIES
La 138.91 La.upf
In 114.82 In.upf
Ag 107.87 Ag.upf
O 16.00 O.upf
CELL_PARAMETERS angstrom
3.683 0.000 0.000
-1.841 6.614 0.000
0.000 0.000 12.745
ATOMIC_POSITIONS crystal
La 0.842 0.683 0.757
La 0.079 0.157 0.654
La 0.158 0.317 0.257
La 0.921 0.843 0.154
In 0.776 0.551 0.489
In 0.224 0.449 0.989
Ag 0.519 0.037 0.932
Ag 0.481 0.963 0.432
O 0.373 0.746 0.049
O 0.732 0.465 0.908
O 0.484 0.967 0.759
O 0.248 0.496 0.707
O 0.911 0.823 0.569
O 0.627 0.254 0.549
O 0.268 0.535 0.408
O 0.516 0.033 0.259
O 0.752 0.504 0.207
O 0.089 0.177 0.069
```

Properties
- Calculated volume: 17.25 A^3/atom
- ΔE_f (raw): -2188 meV per atom
- Space group: Cmc2_1, No. 36